Rb2TlTcI6 | PBE | optimized geometry

a = 8.586 Å, b = 8.586 Å, c = 8.586 Å
α = 60.00°, β = 60.00°, γ = 60.00°
Fractional coordinates of all 10 atoms:
Rb 0.250 0.250 0.250
Rb 0.750 0.750 0.750
Tl 0.000 0.000 0.000
Tc 0.500 0.500 0.500
I 0.273 0.273 0.727
I 0.273 0.727 0.273
I 0.273 0.727 0.727
I 0.727 0.273 0.273
I 0.727 0.273 0.727
I 0.727 0.727 0.273

Fermi-level density of states (states/eV/f.u.): 13.44
Magnetization (μB/f.u.): 2.00
Space group: Fm-3m, No. 225
Energy above the lowest structure with this stoichiometry (eV per formula unit): 0.231
Formation energy (no corrections) (eV/atom): -0.6716